First-principles (PBE) data for CrIrAu2 after structural relaxation, as listed in the Alexandria database.

Computed properties:
N(E_F): 1.3302 states/eV per atom
E above lowest polymorph: 0.422 eV/atom
Formation energy from the elements: 0.496 eV per atom
E: -5.764 eV per atom
V: 66.0 Å³/f.u.

abc: 2.885 4.818 9.504
angles: 90.00 90.00 90.00
Space group Cmmm (No. 65)
Unique sites:
Cr (0.000, 0.000, 0.000)
Ir (0.000, 0.000, 0.500)
Au (0.000, 0.500, 0.242)